No. 1
Below is NaCuAs after structural relaxation, with properties calculated at the PBE level.

Structure (POSCAR):
```
NaCuAs
1.0
4.3257 0.0000 0.0000
0.0000 4.0752 0.0000
0.0000 -2.0376 3.5293
Na As Cu
1 1 1
Cartesian
2.8834 0.0000 2.3528
0.7219 0.0000 0.0000
0.7205 2.0376 1.1764
```

DOS at the Fermi energy, states/eV/atom: 0.87
E_form, eV/atom: -0.2093
Crystal system: hexagonal
Size of the total moment, μB per formula unit: 0.00



No. 2
Below is ScIn2Cu after structural relaxation, with properties calculated at the PBE level.

Structure (POSCAR):
```
ScIn2Cu
1.0
-8.6244 -1.4374 -2.9954
-8.9175 -2.4245 0.1347
-9.1892 0.7723 -0.6171
Cu In Sc
1 2 1
Cartesian
-20.0484 -2.3172 -2.6083
-0.2372 -0.0274 -0.0309
-13.1283 -1.5174 -1.7080
-6.6828 -0.7724 -0.8694
```

DOS at the Fermi energy, states/eV/atom: 0.57
E_form, eV/atom: -0.0263
Crystal system: trigonal
Size of the total moment, μB per formula unit: 0.00